[1]
Computed, not measured: crystalline Eu3Tm12Cd5 at its relaxed geometry at the GGA-PBE level of DFT.

CIF file:
```
data_Eu3Tm12Cd5
_chemical_formula_sum 'Eu24 Tm96 Cd40'
_cell_length_a 18.0948
_cell_length_b 18.0948
_cell_length_c 18.0948
_cell_angle_alpha 90.00
_cell_angle_beta 90.00
_cell_angle_gamma 90.00
_space_group_name_H-M_alt 'I a -3 d'
_space_group_IT_number 230
_space_group_name_Hall '-I 4bd 2c 3'
loop_
_atom_site_label
_atom_site_type_symbol
_atom_site_fract_x
_atom_site_fract_y
_atom_site_fract_z
Eu1 Eu 0.0000 0.2500 0.1250
Tm1 Tm 0.0194 0.0717 0.6457
Cd1 Cd 0.0000 0.0000 0.0000
Cd2 Cd 0.0000 0.2500 0.3750
```

Output
The calculation puts the calculated total energy at -3.85 eV per atom. For the volume, the calculation gives 37.0 Å³/atom. The calculation puts the formation energy from the elements at 0.606 eV per atom.

[2]
Computed, not measured: crystalline LaPr2Au at its relaxed geometry at the GGA-PBE level of DFT.

CIF file:
```
data_LaPr2Au
_chemical_formula_sum 'La3 Pr6 Au3'
_cell_length_a 3.6644
_cell_length_b 3.6644
_cell_length_c 34.5430
_cell_angle_alpha 90.00
_cell_angle_beta 90.00
_cell_angle_gamma 120.00
_space_group_name_H-M_alt 'R -3 m'
_space_group_IT_number 166
_space_group_name_Hall '-R 3 2"'
loop_
_atom_site_label
_atom_site_type_symbol
_atom_site_fract_x
_atom_site_fract_y
_atom_site_fract_z
La1 La 0.0000 0.0000 0.0000
Pr1 Pr 0.0000 0.0000 0.1014
Au1 Au 0.0000 0.0000 0.5000
```

Output
The calculation puts the calculated total energy at -4.51 eV per atom. For the volume, the calculation gives 33.5 Å³/atom. The calculation puts the formation energy from the elements at -0.068 eV per atom. For the energy above the lowest structure with this stoichiometry, the calculation gives 1.30 eV per formula unit.

[3]
Computed, not measured: crystalline CsNaFe2Pt at its relaxed geometry at the GGA-PBE level of DFT.

CIF file:
```
data_CsNaFe2Pt
_chemical_formula_sum 'Cs1 Na1 Fe2 Pt1'
_cell_length_a 4.8304
_cell_length_b 4.8304
_cell_length_c 5.0229
_cell_angle_alpha 90.00
_cell_angle_beta 90.00
_cell_angle_gamma 90.00
_space_group_name_H-M_alt 'P 4/m m m'
_space_group_IT_number 123
_space_group_name_Hall '-P 4 2'
loop_
_atom_site_label
_atom_site_type_symbol
_atom_site_fract_x
_atom_site_fract_y
_atom_site_fract_z
Cs1 Cs 0.0000 0.0000 0.0000
Na1 Na 0.5000 0.5000 0.5000
Fe1 Fe 0.0000 0.5000 0.5000
Pt1 Pt 0.5000 0.5000 0.0000
```

Output
The calculation puts the calculated total energy at -3.43 eV per atom. For the volume, the calculation gives 23.4 Å³/atom. The calculation puts the formation energy from the elements at 1.599 eV per atom.

[4]
Computed, not measured: crystalline CaNbPdF2 at its relaxed geometry at the GGA-PBE level of DFT.

CIF file:
```
data_CaNbPdF2
_chemical_formula_sum 'Ca1 Nb1 Pd1 F2'
_cell_length_a 4.2619
_cell_length_b 4.2619
_cell_length_c 5.1697
_cell_angle_alpha 90.00
_cell_angle_beta 90.00
_cell_angle_gamma 90.00
_space_group_name_H-M_alt 'P 4/m m m'
_space_group_IT_number 123
_space_group_name_Hall '-P 4 2'
loop_
_atom_site_label
_atom_site_type_symbol
_atom_site_fract_x
_atom_site_fract_y
_atom_site_fract_z
Ca1 Ca 0.0000 0.0000 0.0000
Nb1 Nb 0.5000 0.5000 0.5000
Pd1 Pd 0.5000 0.5000 0.0000
F1 F 0.0000 0.5000 0.5000
```

Output
The calculation puts the calculated total energy at -5.60 eV per atom. Its formation energy (no corrections) is -1.4029 eV per atom. For the volume, the calculation gives 18.8 Å³/atom.

[5]
Computed, not measured: crystalline CoMoP4 at its relaxed geometry at the GGA-PBE level of DFT.

CIF file:
```
data_CoMoP4
_chemical_formula_sum 'Co2 Mo2 P8'
_cell_length_a 5.4580
_cell_length_b 6.5439
_cell_length_c 5.6816
_cell_angle_alpha 90.00
_cell_angle_beta 90.37
_cell_angle_gamma 90.00
_space_group_name_H-M_alt 'P 1 2/c 1'
_space_group_IT_number 13
_space_group_name_Hall '-P 2yc'
loop_
_atom_site_label
_atom_site_type_symbol
_atom_site_fract_x
_atom_site_fract_y
_atom_site_fract_z
Co1 Co 0.0000 0.1401 0.2500
Mo1 Mo 0.5000 0.3965 0.7500
P1 P 0.1522 0.1686 0.8805
P2 P 0.2854 0.3161 0.3989
```

Output
The calculation puts the calculated total energy at -6.78 eV per atom. For the volume, the calculation gives 16.9 Å³/atom. The calculation puts the formation energy from the elements at -0.186 eV per atom. For the energy above the lowest structure with this stoichiometry, the calculation gives 0.00 eV per formula unit.

[6]
Computed, not measured: crystalline FeSiSe2 at its relaxed geometry at the GGA-PBE level of DFT.

CIF file:
```
data_FeSiSe2
_chemical_formula_sum 'Fe2 Si2 Se4'
_cell_length_a 3.3757
_cell_length_b 3.4456
_cell_length_c 12.6155
_cell_angle_alpha 90.00
_cell_angle_beta 90.00
_cell_angle_gamma 90.00
_space_group_name_H-M_alt 'I m m 2'
_space_group_IT_number 44
_space_group_name_Hall 'I 2 -2'
loop_
_atom_site_label
_atom_site_type_symbol
_atom_site_fract_x
_atom_site_fract_y
_atom_site_fract_z
Fe1 Fe 0.0000 0.0000 0.0000
Si1 Si 0.0000 0.5000 0.2516
Se1 Se 0.0000 0.0000 0.4154
Se2 Se 0.0000 0.5000 0.6543
```

Output
The calculation puts the calculated total energy at -5.01 eV per atom. Its formation energy (no corrections) is 0.2048 eV per atom. For the volume, the calculation gives 18.3 Å³/atom.

[7]
Computed, not measured: crystalline PtAuSeBr2 at its relaxed geometry at the GGA-PBE level of DFT.

CIF file:
```
data_PtAuSeBr2
_chemical_formula_sum 'Pt1 Au1 Se1 Br2'
_cell_length_a 5.2120
_cell_length_b 5.2120
_cell_length_c 4.8600
_cell_angle_alpha 90.00
_cell_angle_beta 90.00
_cell_angle_gamma 90.00
_space_group_name_H-M_alt 'P 4/m m m'
_space_group_IT_number 123
_space_group_name_Hall '-P 4 2'
loop_
_atom_site_label
_atom_site_type_symbol
_atom_site_fract_x
_atom_site_fract_y
_atom_site_fract_z
Pt1 Pt 0.0000 0.0000 0.0000
Au1 Au 0.5000 0.5000 0.5000
Se1 Se 0.0000 0.0000 0.5000
Br1 Br 0.0000 0.5000 0.0000
```

Output
The calculation puts the calculated total energy at -2.77 eV per atom. Its formation energy (no corrections) is 0.4620 eV per atom. For the volume, the calculation gives 26.4 Å³/atom. For the energy above the lowest structure with this stoichiometry, the calculation gives 0.00 eV per formula unit.

[8]
Computed, not measured: crystalline La2Fe2Se at its relaxed geometry at the GGA-PBE level of DFT.

CIF file:
```
data_La2Fe2Se
_chemical_formula_sum 'La4 Fe4 Se2'
_cell_length_a 5.5110
_cell_length_b 5.5110
_cell_length_c 7.2308
_cell_angle_alpha 90.00
_cell_angle_beta 90.00
_cell_angle_gamma 90.00
_space_group_name_H-M_alt 'I 4/m m m'
_space_group_IT_number 139
_space_group_name_Hall '-I 4 2'
loop_
_atom_site_label
_atom_site_type_symbol
_atom_site_fract_x
_atom_site_fract_y
_atom_site_fract_z
La1 La 0.0000 0.5000 0.2500
Fe1 Fe 0.0000 0.0000 0.1573
Se1 Se 0.0000 0.0000 0.5000
```

Output
The calculation puts the calculated total energy at -6.21 eV per atom. Its formation energy (no corrections) is -0.1565 eV per atom. For the volume, the calculation gives 22.0 Å³/atom. For the energy above the lowest structure with this stoichiometry, the calculation gives 0.81 eV per formula unit.

[9]
Computed, not measured: crystalline Cd5Hg12H3 at its relaxed geometry at the GGA-PBE level of DFT.

CIF file:
```
data_Cd5Hg12H3
_chemical_formula_sum 'Cd40 Hg96 H24'
_cell_length_a 16.2156
_cell_length_b 16.2156
_cell_length_c 16.2156
_cell_angle_alpha 90.00
_cell_angle_beta 90.00
_cell_angle_gamma 90.00
_space_group_name_H-M_alt 'I a -3 d'
_space_group_IT_number 230
_space_group_name_Hall '-I 4bd 2c 3'
loop_
_atom_site_label
_atom_site_type_symbol
_atom_site_fract_x
_atom_site_fract_y
_atom_site_fract_z
Cd1 Cd 0.0000 0.0000 0.0000
Cd2 Cd 0.0000 0.2500 0.3750
Hg1 Hg 0.0206 0.1061 0.6467
H1 H 0.0000 0.2500 0.1250
```

Output
The calculation puts the calculated total energy at -0.68 eV per atom. For the volume, the calculation gives 26.6 Å³/atom.

[10]
Computed, not measured: crystalline CuTc2Hg at its relaxed geometry at the GGA-PBE level of DFT.

CIF file:
```
data_CuTc2Hg
_chemical_formula_sum 'Cu2 Tc4 Hg2'
_cell_length_a 3.2192
_cell_length_b 4.1607
_cell_length_c 9.2750
_cell_angle_alpha 90.00
_cell_angle_beta 90.00
_cell_angle_gamma 90.00
_space_group_name_H-M_alt 'I m m m'
_space_group_IT_number 71
_space_group_name_Hall '-I 2 2'
loop_
_atom_site_label
_atom_site_type_symbol
_atom_site_fract_x
_atom_site_fract_y
_atom_site_fract_z
Cu1 Cu 0.0000 0.0000 0.0000
Tc1 Tc 0.0000 0.5000 0.2596
Hg1 Hg 0.0000 0.0000 0.5000
```

Output
The calculation puts the calculated total energy at -5.76 eV per atom. For the volume, the calculation gives 15.5 Å³/atom. The calculation puts the formation energy from the elements at 0.518 eV per atom.

[11]
Computed, not measured: crystalline BaTh2ReN4 at its relaxed geometry at the GGA-PBE level of DFT.

CIF file:
```
data_BaTh2ReN4
_chemical_formula_sum 'Ba4 Th8 Re4 N16'
_cell_length_a 3.6757
_cell_length_b 12.6472
_cell_length_c 12.6554
_cell_angle_alpha 90.00
_cell_angle_beta 90.00
_cell_angle_gamma 90.00
_space_group_name_H-M_alt 'C m c m'
_space_group_IT_number 63
_space_group_name_Hall '-C 2c 2'
loop_
_atom_site_label
_atom_site_type_symbol
_atom_site_fract_x
_atom_site_fract_y
_atom_site_fract_z
Ba1 Ba 0.0000 0.0656 0.2500
Th1 Th 0.0000 0.3667 0.0486
Re1 Re 0.0000 0.1956 0.7500
N1 N 0.0000 0.0000 0.0000
N2 N 0.0000 0.2490 0.6014
N3 N 0.0000 0.3747 0.2500
```

Output
The calculation puts the calculated total energy at -8.78 eV per atom. Its formation energy (no corrections) is -0.9665 eV per atom. For the volume, the calculation gives 18.4 Å³/atom.

[12]
Computed, not measured: crystalline KCa2Sb at its relaxed geometry at the GGA-PBE level of DFT.

CIF file:
```
data_KCa2Sb
_chemical_formula_sum 'K2 Ca4 Sb2'
_cell_length_a 8.0833
_cell_length_b 4.6560
_cell_length_c 10.7831
_cell_angle_alpha 90.00
_cell_angle_beta 103.76
_cell_angle_gamma 90.00
_space_group_name_H-M_alt 'C 1 2/m 1'
_space_group_IT_number 12
_space_group_name_Hall '-C 2y'
loop_
_atom_site_label
_atom_site_type_symbol
_atom_site_fract_x
_atom_site_fract_y
_atom_site_fract_z
K1 K 0.0000 0.0000 0.0000
Ca1 Ca 0.2141 0.0000 0.6485
Sb1 Sb 0.0000 0.5000 0.5000
```

Output
The calculation puts the calculated total energy at -2.76 eV per atom. Its formation energy (no corrections) is -0.4569 eV per atom. For the volume, the calculation gives 49.3 Å³/atom.